[1]
# Sr2AgP

A crystal of Sr2AgP relaxed with PBEsol (SCAN, Alexandria via LeMat-Bulk).

Unit cell a=4.4409 b=4.4409 c=22.1613 alpha=90.00 beta=90.00 gamma=120.00
Space group R-3m (No. 166, hexagonal axes)
Symmetry-distinct sites (fractional):
Sr (0.0000, 0.0000, 0.2360) [6 per cell]
Ag (0.0000, 0.0000, 0.0000) [3 per cell]
P (0.0000, 0.0000, 0.5000) [3 per cell]

## Properties
ΔE_f = -0.77 eV/atom



[2]
# SrAgP

A crystal of SrAgP relaxed with PBEsol (SCAN, Alexandria via LeMat-Bulk).

Unit cell a=4.3514 b=4.3514 c=8.2323 alpha=90.00 beta=90.00 gamma=120.00
Space group P6_3/mmc (No. 194)
Symmetry-distinct sites (fractional):
Sr (0.0000, 0.0000, 0.0000) [2 per cell]
Ag (0.3333, 0.6667, 0.2500) [2 per cell]
P (0.3333, 0.6667, 0.7500) [2 per cell]

## Properties
ΔE_f = -0.88 eV/atom



[3]
# SrAg3P

A crystal of SrAg3P relaxed with PBEsol (SCAN, Alexandria via LeMat-Bulk).

Unit cell a=5.345 b=5.345 c=5.345 alpha=90.00 beta=90.00 gamma=90.00
Space group Pm-3m (No. 221)
Symmetry-distinct sites (fractional):
Sr (0.000, 0.000, 0.000) [1 per cell]
Ag (0.000, 0.000, 0.500) [3 per cell]
P (0.500, 0.500, 0.500) [1 per cell]

## Properties
ΔE_f = 1.57 eV/atom



[4]
# SrAg2P

A crystal of SrAg2P relaxed with PBEsol (SCAN, Alexandria via LeMat-Bulk).

Unit cell a=4.213 b=4.213 c=4.704 alpha=90.00 beta=90.00 gamma=90.00
Space group P4/mmm (No. 123)
Symmetry-distinct sites (fractional):
Sr (0.000, 0.000, 0.000) [1 per cell]
Ag (0.000, 0.500, 0.500) [2 per cell]
P (0.500, 0.500, 0.000) [1 per cell]

## Properties
ΔE_f = -0.14 eV/atom



[5]
# Sr3AgP

A crystal of Sr3AgP relaxed with PBEsol (SCAN, Alexandria via LeMat-Bulk).

Unit cell a=5.745 b=5.745 c=5.745 alpha=90.00 beta=90.00 gamma=90.00
Space group Pm-3m (No. 221)
Symmetry-distinct sites (fractional):
Sr (0.000, 0.000, 0.500) [3 per cell]
Ag (0.000, 0.000, 0.000) [1 per cell]
P (0.500, 0.500, 0.500) [1 per cell]

## Properties
ΔE_f = 0.02 eV/atom



[6]
# SrAgP

A crystal of SrAgP relaxed with PBEsol (SCAN, Alexandria via LeMat-Bulk).

Unit cell a=4.3034 b=4.3034 c=4.2586 alpha=90.00 beta=90.00 gamma=120.00
Space group P-6m2 (No. 187)
Symmetry-distinct sites (fractional):
Sr (0.0000, 0.0000, 0.0000) [1 per cell]
Ag (0.3333, 0.6667, 0.5000) [1 per cell]
P (0.6667, 0.3333, 0.5000) [1 per cell]

## Properties
ΔE_f = -0.83 eV/atom



[7]
# TaAgP

A crystal of TaAgP relaxed with PBEsol (SCAN, Alexandria via LeMat-Bulk).

Unit cell a=2.9173 b=2.9173 c=6.6124 alpha=90.00 beta=90.00 gamma=120.00
Space group P3m1 (No. 156)
Symmetry-distinct sites (fractional):
Ta (0.0000, 0.0000, 0.0000) [1 per cell]
Ag (0.6667, 0.3333, 0.6386) [1 per cell]
P (0.3333, 0.6667, 0.2957) [1 per cell]

## Properties
ΔE_f = 0.17 eV/atom



[8]
# TaAgP3

A crystal of TaAgP3 relaxed with PBEsol (SCAN, Alexandria via LeMat-Bulk).

Unit cell a=4.753 b=4.753 c=4.753 alpha=90.00 beta=90.00 gamma=90.00
Space group Pm-3m (No. 221)
Symmetry-distinct sites (fractional):
Ta (0.000, 0.000, 0.000) [1 per cell]
Ag (0.500, 0.500, 0.500) [1 per cell]
P (0.000, 0.000, 0.500) [3 per cell]

## Properties
ΔE_f = 0.51 eV/atom



Question: Look up the ΔE_f of the seventh one.
Answer: 0.17 eV/atom



Question: The lowest ΔE_f belongs to which entry?
Answer: number 2



Question: Which of these has the lowest ΔE_f?
Answer: number 2



What did the fifth record say?
# Sr3AgP

A crystal of Sr3AgP relaxed with PBEsol (SCAN, Alexandria via LeMat-Bulk).

Unit cell a=5.745 b=5.745 c=5.745 alpha=90.00 beta=90.00 gamma=90.00
Space group Pm-3m (No. 221)
Symmetry-distinct sites (fractional):
Sr (0.000, 0.000, 0.500) [3 per cell]
Ag (0.000, 0.000, 0.000) [1 per cell]
P (0.500, 0.500, 0.500) [1 per cell]

## Properties
ΔE_f = 0.02 eV/atom